# 1
The following is a DFT calculation (PBE) of a relaxed V5OsRu4 crystal.

a = 3.0099 Å, b = 3.0099 Å, c = 15.1333 Å
α = 90.00°, β = 90.00°, γ = 90.00°
Each line ends with the local moment (μB).
Positions (direct):
Os1 0.0000 0.0000 0.0000  -0.07
V1 0.5000 0.5000 0.5000  0.56
V2 0.5000 0.5000 0.3004  0.66
V3 0.5000 0.5000 0.9000  0.53
Ru1 0.0000 0.0000 0.4006  -0.04
Ru2 0.0000 0.0000 0.7984  -0.03
Ru3 0.0000 0.0000 0.2016  -0.03
Ru4 0.0000 0.0000 0.5994  -0.04
V4 0.5000 0.5000 0.6996  0.66
V5 0.5000 0.5000 0.1000  0.53

Results
Energy of formation from the pure elements in kJ/mol of formula units: -224

***

# 2
The following is a DFT calculation (PBE) of a relaxed VOs2Ru4 crystal.

a = 6.4854 Å, b = 6.4854 Å, c = 4.7485 Å
α = 128.94°, β = 112.09°, γ = 105.34°
Positions (direct):
Ru1 0.2224 0.5720 0.7944
Os1 0.1817 0.7929 0.4531
V1 0.0378 0.9280 0.9658
Ru2 0.7958 0.8580 0.2335
Ru3 0.3755 0.4377 0.2335
Os2 0.6602 0.2714 0.4531
Ru4 0.7265 0.1405 0.8670

Results
Energy of formation from the pure elements in kJ/mol of formula units: 138

***

# 3
The following is a DFT calculation (PBE) of a relaxed V5OsRu2 crystal.

a = 4.2380 Å, b = 4.2380 Å, c = 6.7408 Å
α = 108.32°, β = 108.32°, γ = 90.00°
Positions (direct):
Ru1 0.7502 0.7502 0.5004
Os1 0.0000 0.0000 0.0000
V1 0.6218 0.1218 0.2435
Ru2 0.2498 0.2498 0.4996
V2 0.8782 0.3782 0.7565
V3 0.1218 0.6218 0.2435
V4 0.5000 0.5000 0.0000
V5 0.3782 0.8782 0.7565

Results
Energy of formation from the pure elements in kJ/mol of formula units: -255

***

Q: Among the records above, which one has the lowest energy of formation from the pure elements?
A: V5OsRu2